Entry from the Alexandria database: a crystal of CuNiAu2 relaxed with PBEsol (meta-GGA SCAN).

Space-group type: P4/mmm, No. 123
Fermi-level density of states, states/eV/atom: 0.5590
ΔH_f (0 K), eV per atom: 0.011

Cell and atoms, written as CIF:
```
data_CuNiAu2
_chemical_formula_sum 'Cu1 Ni1 Au2'
_cell_length_a 4.005
_cell_length_b 4.005
_cell_length_c 3.461
_cell_angle_alpha 90.00
_cell_angle_beta 90.00
_cell_angle_gamma 90.00
_space_group_name_H-M_alt 'P 1'
_space_group_IT_number 1
_space_group_name_Hall 'P 1'
loop_
_atom_site_label
_atom_site_type_symbol
_atom_site_fract_x
_atom_site_fract_y
_atom_site_fract_z
Cu1 Cu 0.000 0.000 0.000
Ni1 Ni 0.500 0.500 0.000
Au1 Au 0.000 0.500 0.500
Au2 Au 0.500 0.000 0.500
```

***

Entry from the Alexandria database: a crystal of Cu2NiAu relaxed with PBEsol (meta-GGA SCAN).

Space-group type: F-43m, No. 216
Fermi-level density of states, states/eV/atom: 0.4839
ΔH_f (0 K), eV per atom: 0.052

Cell and atoms, written as CIF:
```
data_Cu2NiAu
_chemical_formula_sum 'Cu8 Ni4 Au4'
_cell_length_a 5.857
_cell_length_b 5.857
_cell_length_c 5.857
_cell_angle_alpha 90.00
_cell_angle_beta 90.00
_cell_angle_gamma 90.00
_space_group_name_H-M_alt 'P 1'
_space_group_IT_number 1
_space_group_name_Hall 'P 1'
loop_
_atom_site_label
_atom_site_type_symbol
_atom_site_fract_x
_atom_site_fract_y
_atom_site_fract_z
Cu1 Cu 0.000 0.000 0.000
Cu2 Cu 0.000 0.500 0.500
Cu3 Cu 0.250 0.250 0.250
Cu4 Cu 0.250 0.750 0.750
Cu5 Cu 0.500 0.000 0.500
Cu6 Cu 0.500 0.500 0.000
Cu7 Cu 0.750 0.250 0.750
Cu8 Cu 0.750 0.750 0.250
Ni1 Ni 0.250 0.250 0.750
Ni2 Ni 0.250 0.750 0.250
Ni3 Ni 0.750 0.250 0.250
Ni4 Ni 0.750 0.750 0.750
Au1 Au 0.000 0.000 0.500
Au2 Au 0.000 0.500 0.000
Au3 Au 0.500 0.000 0.000
Au4 Au 0.500 0.500 0.500
```

***

Entry from the Alexandria database: a crystal of CuSiNiAu2 relaxed with PBEsol (meta-GGA SCAN).

Space-group type: P4/mmm, No. 123
Fermi-level density of states, states/eV/atom: 0.8606

Cell and atoms, written as CIF:
```
data_CuSiNiAu2
_chemical_formula_sum 'Cu1 Si1 Ni1 Au2'
_cell_length_a 4.647
_cell_length_b 4.647
_cell_length_c 4.257
_cell_angle_alpha 90.00
_cell_angle_beta 90.00
_cell_angle_gamma 90.00
_space_group_name_H-M_alt 'P 1'
_space_group_IT_number 1
_space_group_name_Hall 'P 1'
loop_
_atom_site_label
_atom_site_type_symbol
_atom_site_fract_x
_atom_site_fract_y
_atom_site_fract_z
Cu1 Cu 0.000 0.000 0.000
Si1 Si 0.500 0.500 0.000
Ni1 Ni 0.000 0.000 0.500
Au1 Au 0.000 0.500 0.500
Au2 Au 0.500 0.000 0.500
```

***

E_tot: -42.4104, -28.8806, -34.9786 (eV per atom)